Record 1
A plane-wave DFT calculation with PBE-GGA was carried out for a relaxed LiCaAs2 crystal.

Output
energy of formation from the pure elements	-2.63	eV/f.u.
density of states at the Fermi level	0.275	states/eV/atom
M_tot	0.00	μB per formula unit
offset from the most stable computed form	0.014	eV per atom
space-group type	Immm

The structure in POSCAR format:
```
LiCaAs2
1.0
-0.748 3.515 3.732
2.688 -1.733 4.076
1.548 0.705 -4.894
As Ca Li
2 1 1
Direct
0.500 0.500 0.000 As
0.000 0.000 0.000 As
0.750 0.250 0.500 Ca
0.250 0.750 0.500 Li
```

---

Record 2
A plane-wave DFT calculation with PBE-GGA was carried out for a relaxed LiCaMg2As crystal.

Output
energy of formation from the pure elements	5.23	eV/f.u.
density of states at the Fermi level	0.655	states/eV/atom
M_tot	0.00	μB per formula unit
space-group type	P4/mmm

The structure in POSCAR format:
```
LiCaMg2As
1.0
5.716 0.000 0.000
0.000 5.278 0.000
0.000 0.000 5.716
Mg Ca Li As
2 1 1 1
Direct
0.000 0.000 0.500 Mg
0.500 0.000 0.000 Mg
0.000 0.000 0.000 Ca
0.000 0.500 0.000 Li
0.500 0.500 0.500 As
```

---

Record 3
A plane-wave DFT calculation with PBE-GGA was carried out for a relaxed LiCa2AsN crystal.

Output
density of states at the Fermi level	0.868	states/eV/atom
M_tot	0.00	μB per formula unit
space-group type	P4/mmm
energy relative to the elements, uncorrected	-0.8032	eV per atom

The structure in POSCAR format:
```
LiCa2AsN
1.0
-1.529 -0.382 -4.570
-4.417 -1.174 1.576
-1.033 3.911 0.018
Ca As Li N
2 1 1 1
Direct
0.500 0.000 0.000 Ca
0.000 0.500 0.000 Ca
0.500 0.500 0.500 As
0.000 0.000 0.500 Li
0.000 0.000 0.000 N
```

---

Record 4
A plane-wave DFT calculation with PBE-GGA was carried out for a relaxed NaLi2CaAs crystal.

Output
energy of formation from the pure elements	-1.97	eV/f.u.
density of states at the Fermi level	0.233	states/eV/atom
M_tot	0.00	μB per formula unit
space-group type	P4/mmm

The structure in POSCAR format:
```
NaLi2CaAs
1.0
-2.429 2.784 -3.487
0.115 -3.929 -3.218
-4.985 -1.808 2.029
Li Na Ca As
2 1 1 1
Direct
0.500 0.000 0.000 Li
0.000 0.500 0.000 Li
0.500 0.500 0.500 Na
0.000 0.000 0.500 Ca
0.000 0.000 0.000 As
```

---

Record 5
A plane-wave DFT calculation with PBE-GGA was carried out for a relaxed NaLiCa2As crystal.

Output
energy of formation from the pure elements	-2.18	eV/f.u.
density of states at the Fermi level	0.734	states/eV/atom
M_tot	0.49	μB per formula unit
space-group type	P4/mmm

The structure in POSCAR format:
```
NaLiCa2As
1.0
5.744 0.000 0.000
0.000 5.744 0.000
0.000 0.000 5.063
Ca As Li Na
2 1 1 1
Direct
0.500 0.000 0.000 Ca
0.000 0.500 0.000 Ca
0.000 0.000 0.000 As
0.000 0.000 0.500 Li
0.500 0.500 0.500 Na
```

---

Record 6
A plane-wave DFT calculation with PBE-GGA was carried out for a relaxed LiCaNi2As crystal.

Output
energy of formation from the pure elements	2.29	eV/f.u.
density of states at the Fermi level	0.716	states/eV/atom
M_tot	0.00	μB per formula unit
space-group type	P4/mmm

The structure in POSCAR format:
```
LiCaNi2As
1.0
4.217 0.000 0.000
0.000 4.707 0.000
0.000 0.000 4.217
As Ni Li Ca
1 2 1 1
Direct
0.500 0.500 0.500 As
0.500 0.000 0.000 Ni
0.000 0.000 0.500 Ni
0.000 0.000 0.000 Li
0.000 0.500 0.000 Ca
```

---

Record 7
A plane-wave DFT calculation with PBE-GGA was carried out for a relaxed LiCaNiAs2 crystal.

Output
energy of formation from the pure elements	-3.28	eV/f.u.
density of states at the Fermi level	0.411	states/eV/atom
M_tot	0.00	μB per formula unit
space-group type	Pmma

The structure in POSCAR format:
```
LiCaNiAs2
1.0
5.898 0.000 0.000
0.000 5.259 0.000
0.000 0.000 5.912
As Li Ni Ca
4 2 2 2
Direct
0.754 0.250 0.235 As
0.246 0.750 0.235 As
0.754 0.250 0.765 As
0.246 0.750 0.765 As
0.622 0.750 0.000 Li
0.378 0.250 0.000 Li
0.000 0.000 0.000 Ni
0.000 0.500 0.000 Ni
0.221 0.250 0.500 Ca
0.779 0.750 0.500 Ca
```

---

Record 8
A plane-wave DFT calculation with PBE-GGA was carried out for a relaxed Li2Ca2AsO6 crystal.

Output
density of states at the Fermi level	0.570	states/eV/atom
M_tot	0.69	μB per formula unit
space-group type	R-3m
energy relative to the elements, uncorrected	-1.8900	eV per atom

The structure in POSCAR format:
```
Li2Ca2AsO6
1.0
-1.850 2.949 -4.378
-5.335 1.670 -0.194
-1.212 5.578 0.697
O Li As Ca
6 2 1 2
Direct
0.221 0.770 0.238 O
0.770 0.221 0.238 O
0.770 0.770 0.238 O
0.230 0.779 0.762 O
0.779 0.230 0.762 O
0.230 0.230 0.762 O
0.579 0.579 0.262 Li
0.421 0.421 0.738 Li
0.000 0.000 0.000 As
0.784 0.784 0.647 Ca
0.216 0.216 0.353 Ca
```

---

Record 9
A plane-wave DFT calculation with PBE-GGA was carried out for a relaxed LiCaAsO4 crystal.

Output
density of states at the Fermi level	0.000	states/eV/atom
M_tot	0.00	μB per formula unit
space-group type	Imma
energy relative to the elements, uncorrected	-2.0215	eV per atom

The structure in POSCAR format:
```
LiCaAsO4
1.0
-1.150 -0.250 6.689
-5.560 -1.099 2.451
-1.146 -5.242 3.055
O Li As Ca
8 2 2 2
Direct
0.262 0.277 0.777 O
0.684 0.277 0.777 O
0.738 0.723 0.223 O
0.763 0.252 0.222 O
0.237 0.278 0.248 O
0.763 0.722 0.752 O
0.237 0.748 0.778 O
0.316 0.723 0.223 O
0.000 0.000 0.000 Li
0.000 0.500 0.500 Li
0.641 0.609 0.109 As
0.359 0.391 0.891 As
0.000 0.000 0.500 Ca
0.500 0.000 0.500 Ca
```

---

Record 10
A plane-wave DFT calculation with PBE-GGA was carried out for a relaxed LiCa2AsO crystal.

Output
density of states at the Fermi level	0.001	states/eV/atom
M_tot	0.00	μB per formula unit
space-group type	P4/mmm
energy relative to the elements, uncorrected	-1.7751	eV per atom

The structure in POSCAR format:
```
LiCa2AsO
1.0
-2.660 3.039 2.417
-3.687 -2.897 -0.415
1.067 -1.862 3.516
O Li As Ca
1 1 1 2
Direct
0.000 0.000 0.000 O
0.000 0.000 0.500 Li
0.500 0.500 0.500 As
0.500 0.000 0.000 Ca
0.000 0.500 0.000 Ca
```

---

Record 11
A plane-wave DFT calculation with PBE-GGA was carried out for a relaxed LiCaAs2O6 crystal.

Output
density of states at the Fermi level	0.167	states/eV/atom
M_tot	0.00	μB per formula unit
space-group type	C2/c
energy relative to the elements, uncorrected	-1.7335	eV per atom

The structure in POSCAR format:
```
LiCaAs2O6
1.0
6.161 0.053 0.055
2.038 6.831 0.073
2.038 -0.181 6.829
As Li Ca O
4 2 2 12
Direct
0.798 0.612 0.778 As
0.702 0.222 0.388 As
0.202 0.388 0.222 As
0.298 0.778 0.612 As
0.250 0.223 0.777 Li
0.750 0.777 0.223 Li
0.250 0.888 0.112 Ca
0.750 0.112 0.888 Ca
0.330 0.208 0.036 O
0.897 0.382 0.865 O
0.452 0.390 0.323 O
0.170 0.964 0.792 O
0.603 0.135 0.618 O
0.048 0.677 0.610 O
0.830 0.036 0.208 O
0.952 0.323 0.390 O
0.103 0.618 0.135 O
0.397 0.865 0.382 O
0.670 0.792 0.964 O
0.548 0.610 0.677 O
```

---

Record 12
A plane-wave DFT calculation with PBE-GGA was carried out for a relaxed LiCaAs2P crystal.

Output
energy of formation from the pure elements	-0.45	eV/f.u.
density of states at the Fermi level	0.427	states/eV/atom
M_tot	0.00	μB per formula unit
space-group type	P4/mmm

The structure in POSCAR format:
```
LiCaAs2P
1.0
-2.229 -1.489 3.871
1.553 -4.221 -0.730
3.824 0.962 2.572
Ca P As Li
1 1 2 1
Direct
0.500 0.500 0.500 Ca
0.000 0.500 0.000 P
0.500 0.000 0.000 As
0.000 0.000 0.500 As
0.000 0.000 0.000 Li
```

---

| no. | calculated volume (Å³/atom) |
| --- | --- |
| 1 | 20.3 |
| 2 | 34.5 |
| 3 | 18.9 |
| 4 | 29.3 |
| 5 | 33.4 |
| 6 | 16.7 |
| 7 | 18.3 |
| 8 | 11.7 |
| 9 | 12.3 |
| 10 | 18.2 |
| 11 | 14.3 |
| 12 | 20.2 |